Rb2HfWF6 | PBE with a Hubbard U | relaxed

The structure in extended XYZ format:
```
10
Lattice="-4.204 3.199 -5.346 3.008 -4.606 -5.121 -3.711 -3.558 -4.494" Properties=species:S:1:pos:R:3 pbc="T T T"
F -2.830 -2.905 -10.079
F -0.373 -0.439 -3.268
F -1.952 0.762 -5.276
F -0.823 -0.967 -7.199
F 0.756 -2.168 -5.191
F -2.077 -2.060 -4.882
Rb -4.256 -0.531 -7.537
Rb -0.650 -4.433 -7.425
W 0.000 0.000 0.000
Hf -0.598 -0.703 -5.234
```

Calculated values
Symmetry: I4/mmm (139)
Calculated density: 4.44 g cm⁻³
Total energy: -5.607 eV/atom